[1]
# AcAs2BrO6 GGA-PBE relaxed
data_AcAs2BrO6
_cell_length_a 7.488
_cell_length_b 7.488
_cell_length_c 8.847
_cell_angle_alpha 105.20
_cell_angle_beta 105.20
_cell_angle_gamma 93.49
_symmetry_space_group_name_H-M 'P 1'
_symmetry_Int_Tables_number 1
_symmetry_space_group_name_Hall 'P 1'
loop_
_atom_site_label
_atom_site_type_symbol
_atom_site_fract_x
_atom_site_fract_y
_atom_site_fract_z
Ac1 Ac 0.430 0.570 0.750
O1 O 0.466 0.699 0.053
Br1 Br 0.850 0.150 0.750
Br2 Br 0.150 0.850 0.250
As1 As 0.870 0.487 0.728
O2 O 0.600 0.792 0.383
O3 O 0.093 0.525 0.728
O4 O 0.208 0.400 0.117
As2 As 0.513 0.130 0.772
O5 O 0.792 0.600 0.883
O6 O 0.400 0.208 0.617
O7 O 0.534 0.301 0.947
O8 O 0.907 0.475 0.272
O9 O 0.301 0.534 0.447
O10 O 0.475 0.907 0.772
O11 O 0.525 0.093 0.228
O12 O 0.699 0.466 0.553
As3 As 0.487 0.870 0.228
As4 As 0.130 0.513 0.272
Ac2 Ac 0.570 0.430 0.250
# **SG**: No. 15
# **Energy relative to the elements, uncorrected**: -16.29 eV per formula unit
# **Total energy**: -6.112 eV/atom
# **Crystal system**: monoclinic


[2]
# Ac8AsOs3Br4 GGA-PBE relaxed
data_Ac8AsOs3Br4
_cell_length_a 8.865
_cell_length_b 9.578
_cell_length_c 8.865
_cell_angle_alpha 117.57
_cell_angle_beta 120.00
_cell_angle_gamma 90.00
_symmetry_space_group_name_H-M 'P 1'
_symmetry_Int_Tables_number 1
_symmetry_space_group_name_Hall 'P 1'
loop_
_atom_site_label
_atom_site_type_symbol
_atom_site_fract_x
_atom_site_fract_y
_atom_site_fract_z
Br1 Br 0.500 0.000 0.500
Os1 Os 0.500 0.500 0.000
Ac1 Ac 0.714 0.694 0.954
Ac2 Ac 0.760 0.306 0.520
Br2 Br 0.000 0.000 0.500
Os2 Os 0.500 0.500 0.500
Br3 Br 0.500 0.000 0.000
Ac3 Ac 0.240 0.694 0.954
Ac4 Ac 0.734 0.702 0.468
Os3 Os 0.000 0.500 0.500
Ac5 Ac 0.240 0.694 0.480
Ac6 Ac 0.266 0.298 0.532
As1 As 0.000 0.500 0.000
Br4 Br 0.000 0.000 0.000
Ac7 Ac 0.760 0.306 0.046
Ac8 Ac 0.286 0.306 0.046
# **SG**: No. 166
# **Energy relative to the elements, uncorrected**: -14.29 eV per formula unit
# **Total energy**: -5.762 eV/atom
# **Crystal system**: trigonal


[3]
# Ac4AsPbBr2 GGA-PBE relaxed
data_Ac4AsPbBr2
_cell_length_a 4.713
_cell_length_b 7.818
_cell_length_c 8.227
_cell_angle_alpha 69.58
_cell_angle_beta 90.00
_cell_angle_gamma 90.00
_symmetry_space_group_name_H-M 'P 1'
_symmetry_Int_Tables_number 1
_symmetry_space_group_name_Hall 'P 1'
loop_
_atom_site_label
_atom_site_type_symbol
_atom_site_fract_x
_atom_site_fract_y
_atom_site_fract_z
Ac1 Ac 0.000 0.737 0.736
Ac2 Ac 0.500 0.273 0.727
Pb1 Pb 0.500 0.500 0.000
Ac3 Ac 0.500 0.727 0.273
As1 As 0.000 0.500 0.500
Ac4 Ac 0.000 0.263 0.264
Br1 Br 0.000 0.000 0.000
Br2 Br 0.500 0.000 0.500
# **SG**: No. 10
# **Energy relative to the elements, uncorrected**: -9.31 eV per formula unit
# **Total energy**: -4.681 eV/atom
# **Crystal system**: monoclinic


[4]
# AcPmAsBr GGA-PBE relaxed
data_AcPmAsBr
_cell_length_a 5.348
_cell_length_b 5.348
_cell_length_c 5.348
_cell_angle_alpha 60.00
_cell_angle_beta 60.00
_cell_angle_gamma 60.00
_symmetry_space_group_name_H-M 'P 1'
_symmetry_Int_Tables_number 1
_symmetry_space_group_name_Hall 'P 1'
loop_
_atom_site_label
_atom_site_type_symbol
_atom_site_fract_x
_atom_site_fract_y
_atom_site_fract_z
Ac1 Ac 0.500 0.500 0.500
As1 As 0.250 0.250 0.250
Pm1 Pm 0.000 0.000 0.000
Br1 Br 0.750 0.750 0.750
# **SG**: No. 216
# **Energy relative to the elements, uncorrected**: -4.78 eV per formula unit
# **Total energy**: -4.991 eV/atom
# **Crystal system**: cubic


Q: total energy of number 2 (Ac8AsOs3Br4)?
A: -5.762 eV/atom